Ba3Ca12Pm5 | PBE | relaxed

Summary:
* energy of formation from the pure elements: 90.23 kJ/mol of atoms
* N(E_F): 36.48 states/eV/f.u.
* calculated density: 2.45 Mg/m³

abc: 17.8698 17.8698 17.8698
angles: 109.47 109.47 109.47
Element x y z (fractional)
Ba: 0.1250 0.2500 0.3750
Ba: 0.1250 0.3750 0.7500
Ba: 0.2500 0.3750 0.1250
Ba: 0.2500 0.8750 0.6250
Ba: 0.3750 0.1250 0.2500
Ba: 0.3750 0.7500 0.1250
Ba: 0.6250 0.2500 0.8750
Ba: 0.6250 0.8750 0.7500
Ba: 0.7500 0.1250 0.3750
Ba: 0.7500 0.6250 0.8750
Ba: 0.8750 0.6250 0.2500
Ba: 0.8750 0.7500 0.6250
Ca: 0.0622 0.2194 0.1320
Ca: 0.0622 0.3429 0.9303
Ca: 0.0697 0.6320 0.4126
Ca: 0.0697 0.9378 0.6571
Ca: 0.0874 0.7194 0.6571
Ca: 0.0874 0.8680 0.4303
Ca: 0.1320 0.0622 0.2194
Ca: 0.1320 0.5697 0.9126
Ca: 0.1571 0.2194 0.5874
Ca: 0.1571 0.4378 0.5697
Ca: 0.2194 0.1320 0.0622
Ca: 0.2194 0.5874 0.1571
Ca: 0.2806 0.3429 0.9126
Ca: 0.2806 0.4378 0.3680
Ca: 0.3429 0.9126 0.2806
Ca: 0.3429 0.9303 0.0622
Ca: 0.3680 0.2806 0.4378
Ca: 0.3680 0.5874 0.9303
Ca: 0.4126 0.0697 0.6320
Ca: 0.4126 0.8429 0.7806
Ca: 0.4303 0.0874 0.8680
Ca: 0.4303 0.8429 0.5622
Ca: 0.4378 0.3680 0.2806
Ca: 0.4378 0.5697 0.1571
Ca: 0.5622 0.4303 0.8429
Ca: 0.5622 0.6320 0.7194
Ca: 0.5697 0.1571 0.4378
Ca: 0.5697 0.9126 0.1320
Ca: 0.5874 0.1571 0.2194
Ca: 0.5874 0.9303 0.3680
Ca: 0.6320 0.4126 0.0697
Ca: 0.6320 0.7194 0.5622
Ca: 0.6571 0.0697 0.9378
Ca: 0.6571 0.0874 0.7194
Ca: 0.7194 0.5622 0.6320
Ca: 0.7194 0.6571 0.0874
Ca: 0.7806 0.4126 0.8429
Ca: 0.7806 0.8680 0.9378
Ca: 0.8429 0.5622 0.4303
Ca: 0.8429 0.7806 0.4126
Ca: 0.8680 0.4303 0.0874
Ca: 0.8680 0.9378 0.7806
Ca: 0.9126 0.1320 0.5697
Ca: 0.9126 0.2806 0.3429
Ca: 0.9303 0.0622 0.3429
Ca: 0.9303 0.3680 0.5874
Ca: 0.9378 0.6571 0.0697
Ca: 0.9378 0.7806 0.8680
Pm: 0.0000 0.0000 0.0000
Pm: 0.0000 0.0000 0.5000
Pm: 0.0000 0.5000 0.0000
Pm: 0.0000 0.5000 0.5000
Pm: 0.1250 0.7500 0.8750
Pm: 0.1250 0.8750 0.2500
Pm: 0.2500 0.1250 0.8750
Pm: 0.2500 0.6250 0.3750
Pm: 0.3750 0.2500 0.6250
Pm: 0.3750 0.6250 0.7500
Pm: 0.5000 0.0000 0.0000
Pm: 0.5000 0.0000 0.5000
Pm: 0.5000 0.5000 0.0000
Pm: 0.5000 0.5000 0.5000
Pm: 0.6250 0.3750 0.2500
Pm: 0.6250 0.7500 0.3750
Pm: 0.7500 0.3750 0.6250
Pm: 0.7500 0.8750 0.1250
Pm: 0.8750 0.1250 0.7500
Pm: 0.8750 0.2500 0.1250


BaCaPmPr | PBE | relaxed

Summary:
* energy of formation from the pure elements: 18.09 kJ/mol of atoms
* N(E_F): 5.88 states/eV/f.u.
* calculated density: 4.64 Mg/m³

abc: 8.7185 8.7185 8.7185
angles: 90.00 90.00 90.00
Element x y z (fractional)
Ba: 0.0000 0.0000 0.0000
Ba: 0.0000 0.5000 0.5000
Ba: 0.5000 0.0000 0.5000
Ba: 0.5000 0.5000 0.0000
Ca: 0.2500 0.2500 0.2500
Ca: 0.2500 0.7500 0.7500
Ca: 0.7500 0.2500 0.7500
Ca: 0.7500 0.7500 0.2500
Pm: 0.2500 0.2500 0.7500
Pm: 0.2500 0.7500 0.2500
Pm: 0.7500 0.2500 0.2500
Pm: 0.7500 0.7500 0.7500
Pr: 0.0000 0.0000 0.5000
Pr: 0.0000 0.5000 0.0000
Pr: 0.5000 0.0000 0.0000
Pr: 0.5000 0.5000 0.5000


BaCa2PmSe4 | PBE | relaxed

Summary:
* formation energy from raw total energies: -1918 meV per atom
* N(E_F): 2.86 states/eV/f.u.
* calculated density: 4.90 Mg/m³

abc: 7.4750 4.3086 7.5542
angles: 90.00 109.21 90.00
Element x y z (fractional)
Ba: 0.0000 0.0000 0.0000
Ca: 0.5000 0.0000 0.5000
Ca: 0.5000 0.5000 0.0000
Pm: 0.0000 0.5000 0.5000
Se: 0.2582 0.0000 0.7387
Se: 0.2680 0.5000 0.2723
Se: 0.7320 0.5000 0.7277
Se: 0.7418 0.0000 0.2613


Ba2CaPmSe4 | PBE | relaxed

Summary:
* formation energy from raw total energies: -1956 meV per atom
* N(E_F): 2.71 states/eV/f.u.
* calculated density: 5.18 Mg/m³

abc: 7.6435 4.4094 7.8062
angles: 90.00 109.06 90.00
Element x y z (fractional)
Ba: 0.0000 0.0000 0.0000
Ba: 0.5000 0.5000 0.0000
Ca: 0.0000 0.5000 0.5000
Pm: 0.5000 0.0000 0.5000
Se: 0.2417 0.0000 0.7193
Se: 0.2614 0.5000 0.2803
Se: 0.7386 0.5000 0.7197
Se: 0.7583 0.0000 0.2807


BaSrCaPm | PBE | relaxed

Summary:
* energy of formation from the pure elements: 15.60 kJ/mol of atoms
* N(E_F): 6.51 states/eV/f.u.
* calculated density: 3.71 Mg/m³

abc: 9.0194 9.0194 9.0194
angles: 90.00 90.00 90.00
Element x y z (fractional)
Ba: 0.0000 0.0000 0.0000
Ba: 0.0000 0.5000 0.5000
Ba: 0.5000 0.0000 0.5000
Ba: 0.5000 0.5000 0.0000
Sr: 0.2500 0.2500 0.2500
Sr: 0.2500 0.7500 0.7500
Sr: 0.7500 0.2500 0.7500
Sr: 0.7500 0.7500 0.2500
Ca: 0.0000 0.0000 0.5000
Ca: 0.0000 0.5000 0.0000
Ca: 0.5000 0.0000 0.0000
Ca: 0.5000 0.5000 0.5000
Pm: 0.2500 0.2500 0.7500
Pm: 0.2500 0.7500 0.2500
Pm: 0.7500 0.2500 0.2500
Pm: 0.7500 0.7500 0.7500


Ba3CaPm3Te8 | PBE | relaxed

Summary:
* formation energy from raw total energies: -1581 meV per atom
* N(E_F): 4.13 states/eV/f.u.
* calculated density: 5.40 Mg/m³

abc: 9.5928 9.5928 9.5928
angles: 57.39 57.39 57.39
Element x y z (fractional)
Ba: 0.0000 0.5000 0.5000
Ba: 0.5000 0.0000 0.5000
Ba: 0.5000 0.5000 0.0000
Ca: 0.5000 0.5000 0.5000
Pm: 0.0000 0.0000 0.5000
Pm: 0.0000 0.5000 0.0000
Pm: 0.5000 0.0000 0.0000
Te: 0.2345 0.7437 0.7437
Te: 0.2409 0.2409 0.2409
Te: 0.2563 0.2563 0.7655
Te: 0.2563 0.7655 0.2563
Te: 0.7437 0.2345 0.7437
Te: 0.7437 0.7437 0.2345
Te: 0.7591 0.7591 0.7591
Te: 0.7655 0.2563 0.2563


BaCa2PmTl4 | PBE | relaxed

Summary:
* energy of formation from the pure elements: -38.25 kJ/mol of atoms
* N(E_F): 5.39 states/eV/f.u.
* calculated density: 7.67 Mg/m³

abc: 9.8562 9.8562 9.8562
angles: 33.19 33.19 33.19
Element x y z (fractional)
Ba: 0.0000 0.0000 0.0000
Ca: 0.2486 0.2486 0.2486
Ca: 0.7514 0.7514 0.7514
Pm: 0.5000 0.5000 0.5000
Tl: 0.1281 0.1281 0.1281
Tl: 0.3824 0.3824 0.3824
Tl: 0.6176 0.6176 0.6176
Tl: 0.8719 0.8719 0.8719


BaCaPm2Tl4 | PBE | relaxed

Summary:
* energy of formation from the pure elements: -32.12 kJ/mol of atoms
* N(E_F): 6.42 states/eV/f.u.
* calculated density: 8.22 Mg/m³

abc: 10.2930 10.2930 10.2930
angles: 31.20 31.20 31.20
Element x y z (fractional)
Ba: 0.0000 0.0000 0.0000
Ca: 0.5000 0.5000 0.5000
Pm: 0.2395 0.2395 0.2395
Pm: 0.7605 0.7605 0.7605
Tl: 0.1252 0.1252 0.1252
Tl: 0.3867 0.3867 0.3867
Tl: 0.6133 0.6133 0.6133
Tl: 0.8748 0.8748 0.8748


Ba2CaPr | PBE | relaxed

Summary:
* energy of formation from the pure elements: 12.92 kJ/mol of atoms
* N(E_F): 5.71 states/eV/f.u.
* calculated density: 3.94 Mg/m³

abc: 4.0543 4.0543 40.4671
angles: 90.00 90.00 120.00
Element x y z (fractional)
Ba: 0.0000 0.0000 0.0000
Ba: 0.0000 0.0000 0.1717
Ba: 0.3333 0.6667 0.6667
Ba: 0.3333 0.6667 0.8384
Ba: 0.6667 0.3333 0.3333
Ba: 0.6667 0.3333 0.5050
Ca: 0.0000 0.0000 0.7523
Ca: 0.3333 0.6667 0.4190
Ca: 0.6667 0.3333 0.0857
Pr: 0.0000 0.0000 0.5861
Pr: 0.3333 0.6667 0.2527
Pr: 0.6667 0.3333 0.9194


BaCa14Pr | PBE | relaxed

Summary:
* energy of formation from the pure elements: 3.39 kJ/mol of atoms
* N(E_F): 20.17 states/eV/f.u.
* calculated density: 2.05 Mg/m³

abc: 12.8316 7.8317 7.8317
angles: 59.76 90.00 90.00
Element x y z (fractional)
Ba: 0.0000 0.0000 0.0000
Ca: 0.0000 0.0017 0.4989
Ca: 0.0000 0.4989 0.0017
Ca: 0.2463 0.6648 0.6648
Ca: 0.2518 0.1699 0.6605
Ca: 0.2518 0.6605 0.1699
Ca: 0.2540 0.1671 0.1671
Ca: 0.5000 0.3313 0.3313
Ca: 0.5000 0.3334 0.8315
Ca: 0.5000 0.8315 0.3334
Ca: 0.5000 0.8310 0.8310
Ca: 0.7460 0.1671 0.1671
Ca: 0.7482 0.1699 0.6605
Ca: 0.7482 0.6605 0.1699
Ca: 0.7537 0.6648 0.6648
Pr: 0.0000 0.5002 0.5002


BaCa2Pr | PBE | relaxed

Summary:
* energy of formation from the pure elements: 6.73 kJ/mol of atoms
* N(E_F): 5.18 states/eV/f.u.
* calculated density: 3.33 Mg/m³

abc: 4.3155 4.3155 9.6030
angles: 90.00 90.00 90.00
Element x y z (fractional)
Ba: 0.0000 0.0000 0.0000
Ca: 0.5000 0.5000 0.2818
Ca: 0.5000 0.5000 0.7182
Pr: 0.0000 0.0000 0.5000


Ba2CaPr | PBE | relaxed

Summary:
* energy of formation from the pure elements: 14.76 kJ/mol of atoms
* N(E_F): 4.33 states/eV/f.u.
* calculated density: 3.91 Mg/m³

abc: 6.5303 6.5303 4.5389
angles: 90.00 90.00 90.00
Element x y z (fractional)
Ba: 0.0000 0.5000 0.0000
Ba: 0.5000 0.0000 0.0000
Ca: 0.0000 0.0000 0.5000
Pr: 0.5000 0.5000 0.5000